(1)
VASP calculation (PBEsol) on a geometry-optimized Ca2PRh structure.

## Properties
The total energy comes out at -21.005 eV per formula unit. As for the space-group type: Imm2, No. 44. As for the crystal system: orthorhombic. The magnetization is 0.000 μB per cell.

Cell: 3.3972 4.4667 6.3762 Å, 110.50 105.45 90.00°
Closest atoms and distances in Å follow each position.
Atoms (fractional coordinates):
Ca  0.9805  0.9805  0.9609  4 P 2.97
Ca  0.7533  0.2533  0.5067  4 Rh 2.87, 2 P 3.10
P  0.5650  0.5650  0.1300  2 Rh 2.31
Rh  0.2012  0.7012  0.4024  2 P 2.31

=====

(2)
VASP calculation (PBEsol) on a geometry-optimized NaBeOs2Br structure.

## Properties
As for the space-group type: P4/mmm, No. 123. As for the formation energy from raw total energies: 10.35 eV/f.u. As for the crystal system: tetragonal. The magnetization is 0.000 μB per cell.

Cell: 4.5386 4.5386 4.7584 Å, 90.00 90.00 90.00°
Closest atoms and distances in Å follow each position.
Atoms (fractional coordinates):
Na  0.0000  0.0000  0.5000  2 Br 2.38
Os  0.5000  0.0000  0.0000  2 Br 2.27
Br  0.0000  0.0000  0.0000  4 Os 2.27, 2 Na 2.38
Os  0.0000  0.5000  0.0000  2 Br 2.27
Be  0.5000  0.5000  0.5000  4 Na 3.21, 8 Os 3.29

=====

(3)
VASP calculation (PBEsol) on a geometry-optimized MnTe2BrN structure.

## Properties
As for the space-group type: P4/mmm, No. 123. As for the formation energy from raw total energies: 0.87 eV/f.u. As for the crystal system: tetragonal. The magnetization is 0.700 μB per cell.

Cell: 3.4236 5.3425 5.3425 Å, 90.00 90.00 90.00°
Closest atoms and distances in Å follow each position.
Atoms (fractional coordinates):
Te  0.0000  0.5000  0.0000  2 Mn 2.67
Br  0.5000  0.5000  0.5000  8 Te 3.17, 2 Br 3.42
Te  0.0000  0.0000  0.5000  2 Mn 2.67
N  0.5000  0.0000  0.0000  2 Mn 1.71
Mn  0.0000  0.0000  0.0000  2 N 1.71

=====

(4)
VASP calculation (PBEsol) on a geometry-optimized SrSiPt2 structure.

## Properties
As for the space-group type: Immm, No. 71. As for the formation energy from raw total energies: -1.83 eV/f.u. As for the crystal system: orthorhombic. The magnetization is 0.000 μB per cell.

Cell: 3.6762 5.2065 5.2065 Å, 63.39 69.33 69.33°
Closest atoms and distances in Å follow each position.
Atoms (fractional coordinates):
Pt  0.8180  0.1820  0.1820  2 Si 2.35
Sr  0.0000  0.5000  0.5000  8 Pt 3.10-3.15, 4 Si 3.30
Si  0.5000  0.0000  0.0000  4 Pt 2.35
Pt  0.1820  0.8180  0.8180  2 Si 2.35